[1]
LaCe2UO8 | PBE | optimized geometry

Symmetry: No. 47
Energy relative to the elements, uncorrected (eV per atom): -3.4527

a b c (Å): 3.9674 5.4979 7.6258
angles (deg): 90.00 90.00 90.01
With the nearest neighbours (Å) after each atom.
Fractional positions:
1 La 0.0000 0.0000 0.5000  8 O 2.46-2.50
2 Ce 0.5000 0.5000 0.7508  8 O 2.31-2.43
3 Ce 0.5000 0.5000 0.2492  8 O 2.31-2.43
4 U 0.0000 0.0000 0.0000  8 O 2.18-2.36
5 O 0.0001 0.7544 0.2240  1 U 2.18, 2 Ce 2.43
6 O 0.5001 0.7671 0.0000  2 U 2.36, 2 Ce 2.40, 5 O 2.56-2.62
7 O 0.9999 0.2456 0.2240  1 U 2.18, 2 Ce 2.43
8 O 0.9999 0.2456 0.7760  1 U 2.18, 2 Ce 2.43
9 O 0.4999 0.2329 0.0000  2 U 2.36, 2 Ce 2.40, 5 O 2.56-2.62
10 O 0.0001 0.7544 0.7760  1 U 2.18, 2 Ce 2.43
11 O 0.5000 0.7362 0.5000  2 Ce 2.31, 2 La 2.46
12 O 0.5000 0.2638 0.5000  2 Ce 2.31, 2 La 2.46



[2]
La4CeZr3O14 | PBE | optimized geometry

Symmetry: No. 166
Energy relative to the elements, uncorrected (eV per atom): -3.1274

a b c (Å): 7.6096 7.6096 7.6096
angles (deg): 60.97 60.97 60.97
With the nearest neighbours (Å) after each atom.
Fractional positions:
1 La 0.5000 0.5000 0.5000  6 O 2.39
2 La 0.5000 0.0000 0.5000  6 O 2.38-2.39
3 La 0.5000 0.5000 0.0000  6 O 2.38-2.39
4 La 0.0000 0.5000 0.5000  6 O 2.38-2.39
5 Ce 0.0000 0.0000 0.0000  8 O 2.37-2.39
6 Zr 0.0000 0.5000 0.0000  8 O 2.25-2.34
7 Zr 0.0000 0.0000 0.5000  8 O 2.25-2.34
8 Zr 0.5000 0.0000 0.0000  8 O 2.25-2.34
9 O 0.3666 0.8798 0.3666  2 Zr 2.31, 2 La 2.39
10 O 0.8778 0.3798 0.8778  1 Zr 2.25, 2 La 2.38, 1 Ce 2.39
11 O 0.3666 0.3666 0.8798  2 Zr 2.31, 2 La 2.39
12 O 0.8778 0.8778 0.3798  1 Zr 2.25, 2 La 2.38, 1 Ce 2.39
13 O 0.3798 0.8778 0.8778  1 Zr 2.25, 2 La 2.38, 1 Ce 2.39
14 O 0.8798 0.3666 0.3666  2 Zr 2.31, 2 La 2.39
15 O 0.6334 0.1202 0.6334  2 Zr 2.31, 2 La 2.39
16 O 0.1222 0.6202 0.1222  1 Zr 2.25, 2 La 2.38, 1 Ce 2.39
17 O 0.6334 0.6334 0.1202  2 Zr 2.31, 2 La 2.39
18 O 0.1222 0.1222 0.6202  1 Zr 2.25, 2 La 2.38, 1 Ce 2.39
19 O 0.6202 0.1222 0.1222  1 Zr 2.25, 2 La 2.38, 1 Ce 2.39
20 O 0.1202 0.6334 0.6334  2 Zr 2.31, 2 La 2.39
21 O 0.1278 0.1278 0.1278  3 Zr 2.34, 1 Ce 2.37, 3 O 2.59
22 O 0.8722 0.8722 0.8722  3 Zr 2.34, 1 Ce 2.37, 3 O 2.59



[3]
LaCe6Os4 | PBE | optimized geometry

Symmetry: No. 121
Energy of formation from the pure elements (eV per atom): -0.064

a b c (Å): 7.3687 7.3687 7.3687
angles (deg): 90.49 119.72 119.72
With the nearest neighbours (Å) after each atom.
Fractional positions:
1 La 0.0000 0.0000 0.0000  4 Os 3.25, 4 Ce 3.51
2 Ce 0.0000 0.8742 0.5392  4 Os 2.74-3.06
3 Ce 0.0000 0.5392 0.8742  4 Os 2.74-3.06
4 Ce 0.6651 0.1258 0.1258  4 Os 2.74-3.06
5 Ce 0.5000 0.0000 0.5000  4 Os 2.77
6 Ce 0.3349 0.4608 0.4608  4 Os 2.74-3.06
7 Ce 0.5000 0.5000 0.0000  4 Os 2.77
8 Os 0.0000 0.2356 0.6286  6 Ce 2.74-3.06
9 Os 0.6070 0.3714 0.3714  6 Ce 2.74-3.06
10 Os 0.0000 0.6286 0.2356  6 Ce 2.74-3.06
11 Os 0.3930 0.7644 0.7644  6 Ce 2.74-3.06



[4]
LaCe2Os | PBE | optimized geometry

Polymorph energy (0 for the lowest one) (eV per atom): 0.000
Symmetry: No. 62
Energy of formation from the pure elements (eV per atom): -0.134

a b c (Å): 6.2911 9.5127 14.5656
angles (deg): 90.00 90.00 90.00
With the nearest neighbours (Å) after each atom.
Fractional positions:
1 La 0.5411 0.2500 0.1419  3 Os 3.09-3.45
2 La 0.0411 0.7500 0.3581  3 Os 3.09-3.45
3 La 0.4589 0.7500 0.8581  3 Os 3.09-3.45
4 La 0.9589 0.2500 0.6419  3 Os 3.09-3.45
5 La 0.7720 0.2500 0.3970  3 Os 3.13-3.40
6 La 0.2720 0.7500 0.1030  3 Os 3.13-3.40
7 La 0.2280 0.7500 0.6030  3 Os 3.13-3.40
8 La 0.7280 0.2500 0.8970  3 Os 3.13-3.40
9 Ce 0.0661 0.0627 0.2125  2 Os 2.73-2.76
10 Ce 0.5661 0.9373 0.2875  2 Os 2.73-2.76
11 Ce 0.9339 0.5627 0.7875  2 Os 2.73-2.76
12 Ce 0.4339 0.4373 0.7125  2 Os 2.73-2.76
13 Ce 0.9339 0.9373 0.7875  2 Os 2.73-2.76
14 Ce 0.4339 0.0627 0.7125  2 Os 2.73-2.76
15 Ce 0.0661 0.4373 0.2125  2 Os 2.73-2.76
16 Ce 0.5661 0.5627 0.2875  2 Os 2.73-2.76
17 Ce 0.7584 0.5580 0.0370  2 Os 2.74-2.80
18 Ce 0.2584 0.4420 0.4630  2 Os 2.74-2.80
19 Ce 0.2416 0.0580 0.9630  2 Os 2.74-2.80
20 Ce 0.7416 0.9420 0.5370  2 Os 2.74-2.80
21 Ce 0.2416 0.4420 0.9630  2 Os 2.74-2.80
22 Ce 0.7416 0.5580 0.5370  2 Os 2.74-2.80
23 Ce 0.7584 0.9420 0.0370  2 Os 2.74-2.80
24 Ce 0.2584 0.0580 0.4630  2 Os 2.74-2.80
25 Os 0.2841 0.2500 0.3228  4 Ce 2.74-2.76
26 Os 0.7841 0.7500 0.1772  4 Ce 2.74-2.76
27 Os 0.7159 0.7500 0.6772  4 Ce 2.74-2.76
28 Os 0.2159 0.2500 0.8228  4 Ce 2.74-2.76
29 Os 0.0166 0.2500 0.0719  4 Ce 2.73-2.80
30 Os 0.5166 0.7500 0.4281  4 Ce 2.73-2.80
31 Os 0.9834 0.7500 0.9281  4 Ce 2.73-2.80
32 Os 0.4834 0.2500 0.5719  4 Ce 2.73-2.80



[5]
LaCe2Os2 | PBE | optimized geometry

Polymorph energy (0 for the lowest one) (eV per atom): 0.000
Symmetry: No. 12
Energy of formation from the pure elements (eV per atom): -0.074

a b c (Å): 4.1708 6.5132 9.7942
angles (deg): 77.84 77.71 71.33
With the nearest neighbours (Å) after each atom.
Fractional positions:
1 La 0.6867 0.9776 0.6490  4 Os 2.92-3.18
2 La 0.3133 0.0224 0.3510  4 Os 2.92-3.18
3 Ce 0.0540 0.6008 0.2912  4 Os 2.77-3.06
4 Ce 0.1802 0.7274 0.9121  2 Os 2.67
5 Ce 0.9460 0.3992 0.7088  4 Os 2.77-3.06
6 Ce 0.8198 0.2726 0.0879  2 Os 2.67
7 Os 0.3814 0.6542 0.5829  1 Os 2.66, 2 Ce 2.77, 1 La 2.92
8 Os 0.4350 0.2040 0.9261  2 Ce 2.67, 1 Os 2.69
9 Os 0.6186 0.3458 0.4171  1 Os 2.66, 2 Ce 2.77, 1 La 2.92
10 Os 0.5650 0.7960 0.0739  2 Ce 2.67, 1 Os 2.69



[6]
LaCe4Os2 | PBE | optimized geometry

Polymorph energy (0 for the lowest one) (eV per atom): 0.052
Symmetry: No. 65
Energy of formation from the pure elements (eV per atom): -0.049

a b c (Å): 4.7049 4.8289 7.9594
angles (deg): 107.66 90.00 90.00
With the nearest neighbours (Å) after each atom.
Fractional positions:
1 La 0.0000 0.0000 0.0000  8 Os 3.61, 8 Ce 3.64-3.70
2 Ce 0.5000 0.8114 0.6229  2 Os 2.88, 4 Ce 3.05-3.09
3 Ce 0.0000 0.6792 0.3585  2 Os 2.76
4 Ce 0.5000 0.1886 0.3771  2 Os 2.88, 4 Ce 3.05-3.09
5 Ce 0.0000 0.3208 0.6415  2 Os 2.76
6 Os 0.5000 0.5847 0.1693  1 Os 2.57, 2 Ce 2.76
7 Os 0.5000 0.4153 0.8307  1 Os 2.57, 2 Ce 2.76



Respective DOS at the Fermi energy values: 8.29; 0.23; 19.63; 67.92; 13.51; 9.58 states/eV per cell.